TcNiB: optimized geometry, GGA-PBE.

Cell: 4.320 4.320 4.374 Å, 105.66 105.66 116.95°
Element x y z (fractional)
Ni 0.178 0.178 0.356
Tc 0.667 0.333 0.000
Tc 0.333 0.667 0.000
B 0.750 0.250 0.500
Ni 0.822 0.822 0.644
B 0.250 0.750 0.500

ΔE_f: -4.4 kcal/mol of atoms
Calculated volume: 10.39 A^3/atom
Final energy: -46.8 eV/cell
SG: Fmmm
ρ: 8.93 Mg/m³